VASP calculation (PBE) on a relaxed structure of TcPt3Se.

The structure in POSCAR format:
```
TcPt3Se
1.0
4.6792 0.0000 0.0000
0.0000 4.6792 0.0000
0.0000 0.0000 4.6792
Tc Pt Se
1 3 1
direct
0.0000 0.0000 0.0000 Tc
0.0000 0.5000 0.5000 Pt
0.5000 0.0000 0.5000 Pt
0.5000 0.5000 0.0000 Pt
0.5000 0.5000 0.5000 Se
```

Total magnetic moment: 0.86 μB per atom
Final energy: -5.42 eV/atom
Formation energy without anion corrections: 0.971 eV per atom
Space-group type: Pm-3m, No. 221
Polymorph energy (0 for the lowest one): 0 meV/atom